(1)
Below is crystalline BaMgOs2O8 at its relaxed geometry, with properties calculated at the PBE level.

Lattice parameters (Å, degrees): 5.7466 5.7466 7.3790 90.00 90.00 120.00
Closest atoms and distances in Å follow each position.
Atoms (fractional coordinates):
Ba (0.0000, 0.0000, 0.0000)  6 O 2.84
Mg (0.0000, 0.0000, 0.5000)  6 O 2.08
Os (0.3333, 0.6667, 0.7383)  4 O 1.81
Os (0.6667, 0.3333, 0.2617)  4 O 1.81
O (0.1147, 0.3168, 0.6810)  1 Os 1.81
O (0.2021, 0.8853, 0.6810)  1 Os 1.81
O (0.3168, 0.2021, 0.3190)  1 Os 1.81
O (0.3333, 0.6667, 0.9839)  1 Os 1.81
O (0.6667, 0.3333, 0.0161)  1 Os 1.81
O (0.6832, 0.7979, 0.6810)  1 Os 1.81
O (0.7979, 0.1147, 0.3190)  1 Os 1.81
O (0.8853, 0.6832, 0.3190)  1 Os 1.81


(2)
Below is crystalline BaMgOsO6 at its relaxed geometry, with properties calculated at the PBE level.

Lattice parameters (Å, degrees): 5.3231 5.3231 5.6099 90.00 90.00 120.00
Closest atoms and distances in Å follow each position.
Atoms (fractional coordinates):
Ba (0.0000, 0.0000, 0.0000)  6 O 2.70
Mg (0.3333, 0.6667, 0.5000)  6 O 2.07
Os (0.6667, 0.3333, 0.5000)  6 O 1.87
O (0.4033, 0.0279, 0.6937)  1 Os 1.87, 1 Mg 2.07
O (0.4033, 0.3753, 0.3063)  1 Os 1.87, 1 Mg 2.07
O (0.6247, 0.0279, 0.3063)  1 Os 1.87, 1 Mg 2.07
O (0.6247, 0.5967, 0.6937)  1 Os 1.87, 1 Mg 2.07
O (0.9721, 0.3753, 0.6937)  1 Os 1.87, 1 Mg 2.07
O (0.9721, 0.5967, 0.3063)  1 Os 1.87, 1 Mg 2.07


(3)
Below is crystalline BaMgP2O6 at its relaxed geometry, with properties calculated at the PBE level.

Calculated values
- DOS(E_F): 0.2093 states/eV/atom

Lattice parameters (Å, degrees): 6.9524 6.9524 6.9524 44.80 44.80 44.80
Closest atoms and distances in Å follow each position.
Atoms (fractional coordinates):
Ba (0.0000, 0.0000, 0.0000)  6 O 2.85
Mg (0.5000, 0.5000, 0.5000)  6 O 2.12
P (0.2507, 0.2507, 0.2507)  3 O 1.54
P (0.7493, 0.7493, 0.7493)  3 O 1.54
O (0.0745, 0.7155, 0.5141)  1 P 1.54
O (0.2845, 0.4859, 0.9255)  1 P 1.54
O (0.4859, 0.9255, 0.2845)  1 P 1.54
O (0.5141, 0.0745, 0.7155)  1 P 1.54
O (0.7155, 0.5141, 0.0745)  1 P 1.54
O (0.9255, 0.2845, 0.4859)  1 P 1.54


(4)
Below is crystalline BaMgPO4 at its relaxed geometry, with properties calculated at the PBE level.

Calculated values
- DOS(E_F): 0.3435 states/eV/atom

Lattice parameters (Å, degrees): 5.6444 5.6444 5.6444 60.00 60.00 60.00
Closest atoms and distances in Å follow each position.
Atoms (fractional coordinates):
Ba (0.0000, 0.0000, 0.0000)  12 O 3.35, 4 Mg 3.46
Mg (0.7500, 0.7500, 0.7500)  4 O 1.91
P (0.5000, 0.5000, 0.5000)  4 O 1.55
O (0.1638, 0.6121, 0.6121)  1 P 1.55
O (0.6121, 0.1638, 0.6121)  1 P 1.55
O (0.6121, 0.6121, 0.1638)  1 P 1.55
O (0.6121, 0.6121, 0.6121)  1 P 1.55


(5)
Below is crystalline BaMgPO2 at its relaxed geometry, with properties calculated at the PBE level.

Calculated values
- DOS(E_F): 1.0439 states/eV/atom

Lattice parameters (Å, degrees): 4.3219 4.3219 4.9142 90.00 90.00 90.00
Closest atoms and distances in Å follow each position.
Atoms (fractional coordinates):
Ba (0.0000, 0.0000, 0.0000)  4 P 3.06, 8 O 3.27
Mg (0.5000, 0.5000, 0.5000)  4 O 2.16
P (0.5000, 0.5000, 0.0000)  2 Mg 2.46
O (0.0000, 0.5000, 0.5000)  2 Mg 2.16
O (0.5000, 0.0000, 0.5000)  2 Mg 2.16


(6)
Below is crystalline BaMgPO2 at its relaxed geometry, with properties calculated at the PBE level.

Calculated values
- DOS(E_F): 0.6767 states/eV/atom

Lattice parameters (Å, degrees): 4.4218 4.4218 6.6523 90.00 90.00 90.00
Closest atoms and distances in Å follow each position.
Atoms (fractional coordinates):
Ba (0.0000, 0.0000, 0.0000)  4 O 2.21
Mg (0.5000, 0.5000, 0.5000)  4 P 3.13
P (0.0000, 0.0000, 0.5000)  4 Mg 3.13, 2 Ba 3.33
O (0.0000, 0.5000, 0.0000)  2 Ba 2.21
O (0.5000, 0.0000, 0.0000)  2 Ba 2.21


(7)
Below is crystalline Ba2MgP2O8 at its relaxed geometry, with properties calculated at the PBE level.

Calculated values
- DOS(E_F): 0.0000 states/eV/atom

Lattice parameters (Å, degrees): 5.3952 8.9579 17.1509 90.00 107.78 90.00
Closest atoms and distances in Å follow each position.
Atoms (fractional coordinates):
Ba (0.0240, 0.1574, 0.2714)  7 O 2.76-2.96
Ba (0.0240, 0.3426, 0.7714)  7 O 2.76-2.96
Ba (0.1817, 0.7037, 0.9803)  7 O 2.68-2.98
Ba (0.1817, 0.7963, 0.4803)  7 O 2.68-2.98
Ba (0.8183, 0.2037, 0.5197)  7 O 2.68-2.98
Ba (0.8183, 0.2963, 0.0197)  7 O 2.68-2.98
Ba (0.9760, 0.6574, 0.2286)  7 O 2.76-2.96
Ba (0.9760, 0.8426, 0.7286)  7 O 2.76-2.96
Mg (0.4069, 0.0158, 0.1337)  5 O 2.06-2.11
Mg (0.4069, 0.4842, 0.6337)  5 O 2.06-2.11
Mg (0.5931, 0.5158, 0.3663)  5 O 2.06-2.11
Mg (0.5931, 0.9842, 0.8663)  5 O 2.06-2.11
P (0.1864, 0.0883, 0.9226)  4 O 1.53-1.57
P (0.1864, 0.4117, 0.4226)  4 O 1.53-1.57
P (0.4177, 0.1084, 0.6666)  4 O 1.56-1.57
P (0.4177, 0.3916, 0.1666)  4 O 1.56-1.57
P (0.5823, 0.6084, 0.8334)  4 O 1.56-1.57
P (0.5823, 0.8916, 0.3334)  4 O 1.56-1.57
P (0.8136, 0.5883, 0.5774)  4 O 1.53-1.57
P (0.8136, 0.9117, 0.0774)  4 O 1.53-1.57
O (0.1005, 0.6360, 0.6231)  1 P 1.57
O (0.1005, 0.8640, 0.1231)  1 P 1.57
O (0.2296, 0.0857, 0.0151)  1 P 1.53
O (0.2296, 0.4143, 0.5151)  1 P 1.53
O (0.2374, 0.0268, 0.5899)  1 P 1.56
O (0.2374, 0.4732, 0.0899)  1 P 1.56
O (0.2366, 0.5659, 0.3875)  1 P 1.56
O (0.2366, 0.9341, 0.8875)  1 P 1.56
O (0.2948, 0.6087, 0.8347)  1 P 1.56
O (0.2948, 0.8913, 0.3347)  1 P 1.56
O (0.3147, 0.2280, 0.1678)  1 P 1.57
O (0.3147, 0.2720, 0.6678)  1 P 1.57
O (0.3784, 0.1984, 0.9007)  1 P 1.56
O (0.3784, 0.3016, 0.4007)  1 P 1.56
O (0.3982, 0.0274, 0.7451)  1 P 1.56
O (0.3982, 0.4726, 0.2451)  1 P 1.56
O (0.6018, 0.5274, 0.7549)  1 P 1.56
O (0.6018, 0.9726, 0.2549)  1 P 1.56
O (0.6216, 0.6984, 0.5993)  1 P 1.56
O (0.6216, 0.8016, 0.0993)  1 P 1.56
O (0.6853, 0.7280, 0.3322)  1 P 1.57
O (0.6853, 0.7720, 0.8322)  1 P 1.57
O (0.7052, 0.1087, 0.6653)  1 P 1.56
O (0.7052, 0.3913, 0.1653)  1 P 1.56
O (0.7634, 0.0659, 0.1125)  1 P 1.56
O (0.7634, 0.4341, 0.6125)  1 P 1.56
O (0.7626, 0.5268, 0.9101)  1 P 1.56
O (0.7626, 0.9732, 0.4101)  1 P 1.56
O (0.7704, 0.5857, 0.4849)  1 P 1.53
O (0.7704, 0.9143, 0.9849)  1 P 1.53
O (0.8995, 0.1360, 0.8769)  1 P 1.57
O (0.8995, 0.3640, 0.3769)  1 P 1.57


(8)
Below is crystalline Ba3Mg2PaO8 at its relaxed geometry, with properties calculated at the PBE level.

Calculated values
- DOS(E_F): 0.5316 states/eV/atom

Lattice parameters (Å, degrees): 6.0876 6.0876 7.7535 90.00 90.00 120.00
Closest atoms and distances in Å follow each position.
Atoms (fractional coordinates):
Ba (0.0000, 0.0000, 0.0000)  6 O 3.09
Ba (0.3333, 0.6667, 0.6526)  1 O 2.48
Ba (0.6667, 0.3333, 0.3474)  1 O 2.48
Mg (0.3333, 0.6667, 0.2201)  4 O 1.92-1.97
Mg (0.6667, 0.3333, 0.7799)  4 O 1.92-1.97
Pa (0.0000, 0.0000, 0.5000)  6 O 2.18
O (0.1645, 0.3290, 0.3294)  1 Mg 1.97, 1 Pa 2.18
O (0.1645, 0.8355, 0.3294)  1 Mg 1.97, 1 Pa 2.18
O (0.3290, 0.1645, 0.6706)  1 Mg 1.97, 1 Pa 2.18
O (0.3333, 0.6667, 0.9729)  1 Mg 1.92
O (0.6667, 0.3333, 0.0271)  1 Mg 1.92
O (0.6710, 0.8355, 0.3294)  1 Mg 1.97, 1 Pa 2.18
O (0.8355, 0.1645, 0.6706)  1 Mg 1.97, 1 Pa 2.18
O (0.8355, 0.6710, 0.6706)  1 Mg 1.97, 1 Pa 2.18


Number 1: formation energy without anion corrections -1.516 eV/atom, size of the total moment 4.00 μB/cell. Number 2: formation energy without anion corrections -1.800 eV/atom, size of the total moment 0.00 μB/cell. Number 3: formation energy without anion corrections -2.247 eV/atom, size of the total moment 1.99 μB/cell. Number 4: formation energy without anion corrections -2.297 eV/atom, size of the total moment 0.76 μB/cell. Number 5: formation energy without anion corrections -0.938 eV/atom, size of the total moment 2.27 μB/cell. Number 6: formation energy without anion corrections -0.061 eV/atom, size of the total moment 1.32 μB/cell. Number 7: formation energy without anion corrections -2.803 eV/atom, size of the total moment 0.00 μB/cell. Number 8: formation energy without anion corrections -2.719 eV/atom, size of the total moment 1.08 μB/cell.